VASP calculation (GGA-PBE) on an optimized crystal structure of Pm2Pr5Ho12.

Lattice parameters (Å, degrees): 9.1173 10.0487 8.7315 66.98 90.00 116.98
With the nearest neighbours (Å) after each atom.
Positions (direct):
Pm: 0.6717 0.0000 0.0000  1 Pm 3.13, 4 Ho 3.32
Pm: 0.3283 0.0000 0.0000  1 Pm 3.13, 4 Ho 3.32
Pr: 0.2358 0.4716 0.7048  5 Ho 3.12-3.47
Pr: 0.2814 0.5628 0.2315  8 Ho 3.58-3.93, 1 Pr 3.85, 2 Pm 3.86
Pr: 0.0000 0.0000 0.5000  6 Ho 3.20-3.54
Pr: 0.7186 0.4372 0.7685  8 Ho 3.58-3.93, 1 Pr 3.85, 2 Pm 3.86
Pr: 0.7642 0.5284 0.2952  5 Ho 3.12-3.47
Ho: 0.9552 0.9105 0.1833  1 Ho 2.88, 2 Pr 3.12-3.20
Ho: 0.0384 0.7093 0.9080  1 Pm 3.32, 4 Ho 3.32-3.58, 2 Pr 3.47-3.58
Ho: 0.6709 0.7093 0.9080  1 Pm 3.32, 4 Ho 3.32-3.58, 2 Pr 3.47-3.58
Ho: 0.1592 0.7526 0.4517  2 Pr 3.20-3.54, 2 Ho 3.35-3.54
Ho: 0.5933 0.7526 0.4517  2 Pr 3.20-3.54, 2 Ho 3.35-3.54
Ho: 0.4348 0.8695 0.7176  7 Ho 3.32-3.63, 2 Pm 3.52, 1 Pr 3.61
Ho: 0.5652 0.1305 0.2824  7 Ho 3.32-3.63, 2 Pm 3.52, 1 Pr 3.61
Ho: 0.8408 0.2474 0.5483  2 Pr 3.20-3.54, 2 Ho 3.35-3.54
Ho: 0.4067 0.2474 0.5483  2 Pr 3.20-3.54, 2 Ho 3.35-3.54
Ho: 0.9616 0.2907 0.0920  1 Pm 3.32, 4 Ho 3.32-3.58, 2 Pr 3.47-3.58
Ho: 0.3291 0.2907 0.0920  1 Pm 3.32, 4 Ho 3.32-3.58, 2 Pr 3.47-3.58
Ho: 0.0448 0.0895 0.8167  1 Ho 2.88, 2 Pr 3.12-3.20

Computed properties:
The density of states at the Fermi level is 28.30 states/eV per cell. The excess energy over the best structure of this formula in the dataset comes out at 0.196 eV/atom. The total magnetization is 0.000 μB/f.u. The formation energy is 0.217 eV per atom.

VASP calculation (GGA-PBE) on an optimized crystal structure of Cs2AsIrCl6.

Lattice parameters (Å, degrees): 7.2502 7.2502 7.2754 60.11 60.11 90.00
With the nearest neighbours (Å) after each atom.
Positions (direct):
Cs: 0.7500 0.2500 0.5000  12 Cl 3.63-3.64
Cs: 0.2500 0.7500 0.5000  12 Cl 3.63-3.64
As: 0.5000 0.5000 0.0000  6 Cl 2.67-2.71
Ir: 0.0000 0.0000 0.0000  6 Cl 2.45-2.46
Cl: 0.2380 0.2380 0.5241  1 Ir 2.46, 1 As 2.71
Cl: 0.7620 0.7620 0.4759  1 Ir 2.46, 1 As 2.71
Cl: 0.2392 0.2392 0.0000  1 Ir 2.45, 1 As 2.67
Cl: 0.7608 0.7608 0.0000  1 Ir 2.45, 1 As 2.67
Cl: 0.7608 0.2392 0.0000  1 Ir 2.45, 1 As 2.67
Cl: 0.2392 0.7608 0.0000  1 Ir 2.45, 1 As 2.67

Computed properties:
The density of states at the Fermi level is 4.20 states/eV per cell. The total magnetization is 0.000 μB/f.u. The calculation puts the total energy at -3.537 eV per atom.

VASP calculation (GGA-PBE) on an optimized crystal structure of TaCr3Cu2S8.

Lattice parameters (Å, degrees): 3.4510 11.4998 12.1951 88.73 90.00 90.00
With the nearest neighbours (Å) after each atom.
Positions (direct):
Ta: 0.2500 0.1345 0.6958  6 S 2.39-2.56
Ta: 0.7500 0.8655 0.3042  6 S 2.39-2.56
Cr: 0.2500 0.1156 0.0713  6 S 2.40-2.52
Cr: 0.7500 0.8844 0.9287  6 S 2.40-2.52
Cr: 0.7500 0.3894 0.5723  6 S 2.39-2.48
Cr: 0.2500 0.6106 0.4277  6 S 2.39-2.48
Cr: 0.7500 0.3609 0.1898  5 S 2.37-2.44
Cr: 0.2500 0.6391 0.8102  5 S 2.37-2.44
Cu: 0.7500 0.2483 0.3833  5 S 2.39-2.61, 1 Cr 2.67
Cu: 0.2500 0.7517 0.6167  5 S 2.39-2.61, 1 Cr 2.67
Cu: 0.2500 0.3933 0.9670  5 S 2.29-2.48
Cu: 0.7500 0.6067 0.0330  5 S 2.29-2.48
S: 0.7500 0.0137 0.6250  2 Ta 2.39
S: 0.2500 0.9863 0.3750  2 Ta 2.39
S: 0.2500 0.4882 0.1301  3 Cu 2.29-2.48, 2 Cr 2.37
S: 0.7500 0.5118 0.8699  3 Cu 2.29-2.48, 2 Cr 2.37
S: 0.2500 0.0301 0.8831  3 Cr 2.46-2.52, 1 Ta 2.56
S: 0.7500 0.9699 0.1169  3 Cr 2.46-2.52, 1 Ta 2.56
S: 0.7500 0.4751 0.3836  3 Cr 2.39-2.48, 1 Cu 2.61
S: 0.2500 0.5249 0.6164  3 Cr 2.39-2.48, 1 Cu 2.61
S: 0.2500 0.2220 0.2451  3 Cr 2.44-2.47, 2 Cu 2.44
S: 0.7500 0.7780 0.7549  3 Cr 2.44-2.47, 2 Cu 2.44
S: 0.7500 0.2782 0.7475  1 Cr 2.47, 2 Ta 2.48
S: 0.2500 0.7218 0.2525  1 Cr 2.47, 2 Ta 2.48
S: 0.7500 0.2525 0.0245  3 Cr 2.39-2.40, 2 Cu 2.46
S: 0.2500 0.7475 0.9755  3 Cr 2.39-2.40, 2 Cu 2.46
S: 0.2500 0.2503 0.5194  2 Cu 2.39, 2 Cr 2.45, 1 Ta 2.51
S: 0.7500 0.7497 0.4806  2 Cu 2.39, 2 Cr 2.45, 1 Ta 2.51

Computed properties:
The density of states at the Fermi level is 4.02 states/eV per cell. The excess energy over the best structure of this formula in the dataset comes out at 0.180 eV/atom. The total magnetization is 8.902 μB/f.u.

VASP calculation (GGA-PBE) on an optimized crystal structure of Ca2HgTe.

Lattice parameters (Å, degrees): 6.4550 6.4550 4.5755 89.87 89.87 39.78
With the nearest neighbours (Å) after each atom.
Positions (direct):
Ca: 0.0044 0.0044 0.1243  4 Hg 3.18, 3 Te 3.28-3.55
Ca: 0.7368 0.7368 0.6258  1 Hg 3.06, 4 Te 3.20
Te: 0.2744 0.2744 0.1255  7 Ca 3.20-3.55, 2 Hg 3.42-3.43
Hg: 0.4844 0.4844 0.6244  5 Ca 3.06-3.18, 2 Te 3.42-3.43

Computed properties:
The density of states at the Fermi level is 2.64 states/eV per cell. The excess energy over the best structure of this formula in the dataset comes out at 0.053 eV/atom. The total magnetization is 0.000 μB/f.u.